[1]
This record from Alexandria describes BaErLu2 after structural relaxation. The functional is PBE.

Computed properties:
- Magnetization: 0.0364 μB per atom
- SG: R-3m
- Calculated formation energy: 259 meV per atom
- Total energy: -14.49 eV for the cell shown

Structure (POSCAR):
```
BaErLu2
1.0
1.7700 1.0219 12.6540
-1.7700 1.0219 12.6540
0.0000 -2.0438 12.6540
Ba Er Lu
1 1 2
direct
0.0000 0.0000 0.0000
0.5000 0.5000 0.5000
0.0942 0.0942 0.0942
0.9058 0.9058 0.9058
```

=====

[2]
This record from Alexandria describes BaErMg after structural relaxation. The functional is PBE.

Computed properties:
- Magnetization: 0.0000 μB per atom
- SG: I4mm
- Calculated formation energy: 102 meV per atom
- Total energy: -7.77 eV for the cell shown

Structure (POSCAR):
```
BaErMg
1.0
-1.9982 1.9982 6.8801
1.9982 -1.9982 6.8801
1.9982 1.9982 -6.8801
Ba Er Mg
1 1 1
direct
0.0000 0.0000 0.0000
0.2916 0.2916 0.0000
0.6764 0.6764 0.0000
```

=====

[3]
This record from Alexandria describes BaErMg2 after structural relaxation. The functional is PBE.

Computed properties:
- Magnetization: 0.0300 μB per atom
- SG: P4/mmm
- Calculated formation energy: -14 meV per atom
- Total energy: -9.73 eV for the cell shown

Structure (POSCAR):
```
BaErMg2
1.0
3.9750 0.0000 0.0000
0.0000 3.9750 0.0000
0.0000 0.0000 8.3830
Ba Er Mg
1 1 2
direct
0.0000 0.0000 0.0000
0.0000 0.0000 0.5000
0.5000 0.5000 0.2973
0.5000 0.5000 0.7027
```

=====

[4]
This record from Alexandria describes BaEr4Mg5 after structural relaxation. The functional is PBE.

Computed properties:
- Magnetization: 0.0000 μB per atom
- SG: P4/mmm
- Calculated formation energy: -46 meV per atom
- Total energy: -28.61 eV for the cell shown

Structure (POSCAR):
```
BaEr4Mg5
1.0
3.8057 0.0000 0.0000
0.0000 3.8057 0.0000
0.0000 0.0000 20.0612
Ba Er Mg
1 4 5
direct
0.0000 0.0000 0.0000
0.0000 0.0000 0.2260
0.0000 0.0000 0.4080
0.0000 0.0000 0.5920
0.0000 0.0000 0.7740
0.5000 0.5000 0.1308
0.5000 0.5000 0.3161
0.5000 0.5000 0.5000
0.5000 0.5000 0.6839
0.5000 0.5000 0.8692
```